SiSbPtCl2 at its PBEsol-relaxed geometry. Source: Alexandria, functional meta-GGA SCAN.

Geometry as POSCAR:
```
SiSbPtCl2
1.0
-2.799 2.491 -3.129
-3.663 -0.064 3.225
1.840 4.812 2.185
Cl Sb Si Pt
2 1 1 1
direct
0.500 0.000 0.000
0.000 0.500 0.000
0.000 0.000 0.000
0.000 0.000 0.500
0.500 0.500 0.500
```

Properties
Space group: P4/mmm
V in A^3/atom: 26.663
E_form (uncorrected) in eV per atom: 0.927


Sb2TePtCl at its PBEsol-relaxed geometry. Source: Alexandria, functional meta-GGA SCAN.

Geometry as POSCAR:
```
Sb2TePtCl
1.0
-3.574 -0.801 3.741
-0.074 -5.103 -1.164
3.842 -0.851 3.488
Sb Cl Pt Te
2 1 1 1
direct
0.000 0.500 0.000
0.500 0.000 0.000
0.500 0.500 0.500
0.000 0.000 0.000
0.000 0.000 0.500
```

Properties
Space group: P4/mmm
V in A^3/atom: 28.819
E_form (uncorrected) in eV per atom: 0.293


Sc2PtCl at its PBEsol-relaxed geometry. Source: Alexandria, functional meta-GGA SCAN.

Geometry as POSCAR:
```
Sc2PtCl
1.0
3.724 0.000 0.000
0.000 3.724 0.000
0.000 0.000 5.448
Sc Cl Pt
2 1 1
direct
0.000 0.000 0.500
0.500 0.500 0.000
0.000 0.000 0.000
0.500 0.500 0.500
```

Properties
Space group: P4/mmm
V in A^3/atom: 18.894
E above lowest polymorph in meV/atom: 0
E_form (uncorrected) in eV per atom: -1.345